(1)
The following is a SCAN calculation of a PBEsol-optimized structure of Ba2SmFeO6, from Alexandria.

a = 5.8265 Å, b = 5.8265 Å, c = 5.8265 Å
α = 60.00°, β = 60.00°, γ = 60.00°
Last column: nearest neighbours and their distance in Å.
Element x y z (fractional)
Ba 0.2500 0.2500 0.2500  12 O 2.92
Ba 0.7500 0.7500 0.7500  12 O 2.92
Sm 0.0000 0.0000 0.0000  6 O 2.26
Fe 0.5000 0.5000 0.5000  6 O 1.86
O 0.2742 0.2742 0.7258  1 Fe 1.86
O 0.2742 0.7258 0.2742  1 Fe 1.86
O 0.2742 0.7258 0.7258  1 Fe 1.86
O 0.7258 0.2742 0.2742  1 Fe 1.86
O 0.7258 0.2742 0.7258  1 Fe 1.86
O 0.7258 0.7258 0.2742  1 Fe 1.86

ΔE_f (raw), eV per atom: -2.7113
V, Å³/cell: 140
Calculated density, g/cm³: 6.8

(2)
The following is a SCAN calculation of a PBEsol-optimized structure of BaSr4Fe5O10, from Alexandria.

a = 3.8052 Å, b = 3.8052 Å, c = 18.2496 Å
α = 90.00°, β = 90.00°, γ = 90.00°
Last column: nearest neighbours and their distance in Å.
Element x y z (fractional)
Ba 0.0000 0.0000 0.0000  8 O 2.79
Sr 0.0000 0.0000 0.2069  8 O 2.58-2.62
Sr 0.0000 0.0000 0.4024  8 O 2.60-2.61
Sr 0.0000 0.0000 0.5976  8 O 2.60-2.61
Sr 0.0000 0.0000 0.7931  8 O 2.58-2.62
Fe 0.5000 0.5000 0.1109  4 O 1.90
Fe 0.5000 0.5000 0.3053  4 O 1.90
Fe 0.5000 0.5000 0.5000  4 O 1.90
Fe 0.5000 0.5000 0.6947  4 O 1.90
Fe 0.5000 0.5000 0.8891  4 O 1.90
O 0.0000 0.5000 0.1116  2 Fe 1.90
O 0.0000 0.5000 0.3053  2 Fe 1.90
O 0.0000 0.5000 0.5000  2 Fe 1.90
O 0.0000 0.5000 0.6947  2 Fe 1.90
O 0.0000 0.5000 0.8884  2 Fe 1.90
O 0.5000 0.0000 0.1116  2 Fe 1.90
O 0.5000 0.0000 0.3053  2 Fe 1.90
O 0.5000 0.0000 0.5000  2 Fe 1.90
O 0.5000 0.0000 0.6947  2 Fe 1.90
O 0.5000 0.0000 0.8884  2 Fe 1.90

Distance to the lowest polymorph of the same formula, meV/atom: 6.9
ΔE_f (raw), eV per atom: -2.1781
V, Å³/cell: 264
Calculated density, g/cm³: 5.8

(3)
The following is a SCAN calculation of a PBEsol-optimized structure of BaSr4Fe5O10, from Alexandria.

a = 5.2625 Å, b = 3.8402 Å, c = 13.1964 Å
α = 90.00°, β = 97.44°, γ = 90.00°
Last column: nearest neighbours and their distance in Å.
Element x y z (fractional)
Ba 0.0000 0.0000 0.0000  8 O 2.63-2.76
Sr 0.1988 0.0000 0.4034  8 O 2.54-2.63
Sr 0.4186 0.0000 0.7973  8 O 2.56-2.65
Sr 0.5814 0.0000 0.2027  8 O 2.56-2.65
Sr 0.8012 0.0000 0.5966  8 O 2.54-2.63
Fe 0.0768 0.5000 0.2101  4 O 1.92-1.93
Fe 0.3011 0.5000 0.6008  4 O 1.92-1.93
Fe 0.5000 0.5000 0.0000  4 O 1.92
Fe 0.6989 0.5000 0.3992  4 O 1.92-1.93
Fe 0.9232 0.5000 0.7899  4 O 1.92-1.93
O 0.0000 0.5000 0.5000  2 Fe 1.93
O 0.0807 0.0000 0.2103  2 Fe 1.92
O 0.2239 0.5000 0.8900  2 Fe 1.92-1.93
O 0.3022 0.0000 0.6004  2 Fe 1.92
O 0.3888 0.5000 0.3038  2 Fe 1.92-1.93
O 0.5000 0.0000 0.0000  2 Fe 1.92
O 0.6112 0.5000 0.6962  2 Fe 1.92-1.93
O 0.6978 0.0000 0.3996  2 Fe 1.92
O 0.7761 0.5000 0.1100  2 Fe 1.92-1.93
O 0.9193 0.0000 0.7897  2 Fe 1.92

Distance to the lowest polymorph of the same formula, meV/atom: 0.0
ΔE_f (raw), eV per atom: -2.1850
V, Å³/cell: 264
Calculated density, g/cm³: 5.8

(4)
The following is a SCAN calculation of a PBEsol-optimized structure of Ba4Ta10FeO30, from Alexandria.

a = 9.9223 Å, b = 9.9223 Å, c = 9.9223 Å
α = 133.65°, β = 118.07°, γ = 80.75°
Last column: nearest neighbours and their distance in Å.
Element x y z (fractional)
Ba 0.0000 0.0000 0.0000  8 O 2.73-2.98
Ba 0.0095 0.5095 0.5000  3 O 2.67-2.74
Ba 0.4031 0.4031 0.0000  7 O 2.66-2.90
Ba 0.4178 0.9178 0.5000  8 O 2.80-2.90
Ta 0.0199 0.0856 0.4345  6 O 1.96-2.05
Ta 0.0199 0.5854 0.9343  6 O 1.96-2.05
Ta 0.2087 0.4582 0.2495  6 O 1.96-1.98
Ta 0.2087 0.9592 0.7505  6 O 1.96-1.98
Ta 0.3987 0.3336 0.5674  6 O 1.93-2.05
Ta 0.3987 0.8313 0.0650  6 O 1.93-2.05
Ta 0.6511 0.0856 0.0657  6 O 1.96-2.05
Ta 0.6511 0.5854 0.5655  6 O 1.96-2.05
Ta 0.7662 0.3336 0.9350  6 O 1.93-2.05
Ta 0.7662 0.8313 0.4326  6 O 1.93-2.05
Fe 0.6850 0.1850 0.5000  6 O 2.15-2.18
O 0.0013 0.8372 0.1641  2 Ta 1.96
O 0.0551 0.3570 0.6981  2 Ta 1.98
O 0.1749 0.0357 0.6007  2 Ta 1.96-1.98
O 0.1749 0.5742 0.1392  2 Ta 1.96-1.98
O 0.1910 0.6910 0.5000  2 Ta 1.97
O 0.2148 0.1924 0.4823  2 Ta 1.93-2.05
O 0.2148 0.7325 0.0224  2 Ta 1.93-2.05
O 0.2261 0.2261 0.0000  2 Ta 1.97
O 0.2471 0.3381 0.3541  2 Ta 1.96
O 0.2471 0.8930 0.9090  2 Ta 1.96
O 0.3849 0.5872 0.7976  2 Ta 1.95
O 0.4350 0.0357 0.8608  2 Ta 1.96-1.98
O 0.4350 0.5742 0.3993  2 Ta 1.96-1.98
O 0.4397 0.0779 0.3618  2 Ta 2.02, 1 Fe 2.15
O 0.5402 0.3260 0.7857  2 Ta 2.00
O 0.5402 0.7545 0.2143  2 Ta 2.00
O 0.5776 0.0012 0.1547  2 Ta 1.96-2.05, 1 Fe 2.18
O 0.5776 0.4229 0.5764  2 Ta 1.96-2.05, 1 Fe 2.18
O 0.6590 0.3570 0.3019  2 Ta 1.98
O 0.6731 0.8372 0.8359  2 Ta 1.96
O 0.7101 0.1924 0.9776  2 Ta 1.93-2.05
O 0.7101 0.7325 0.5177  2 Ta 1.93-2.05
O 0.7162 0.0779 0.6382  2 Ta 2.02, 1 Fe 2.15
O 0.7896 0.5872 0.2024  2 Ta 1.95
O 0.8465 0.0012 0.4236  2 Ta 1.96-2.05, 1 Fe 2.18
O 0.8465 0.4229 0.8453  2 Ta 1.96-2.05, 1 Fe 2.18
O 0.8817 0.1461 0.2643  2 Ta 2.01
O 0.8817 0.6174 0.7357  2 Ta 2.01
O 0.9840 0.3381 0.0910  2 Ta 1.96
O 0.9840 0.8930 0.6459  2 Ta 1.96

ΔE_f (raw), eV per atom: -3.1183
V, Å³/cell: 603
Calculated density, g/cm³: 8.0

(5)
The following is a SCAN calculation of a PBEsol-optimized structure of BaTbFe2O5, from Alexandria.

a = 3.8611 Å, b = 3.8611 Å, c = 7.2898 Å
α = 90.00°, β = 90.00°, γ = 90.00°
Last column: nearest neighbours and their distance in Å.
Element x y z (fractional)
Ba 0.0000 0.0000 0.0000  12 O 2.73-2.94
Tb 0.0000 0.0000 0.5000  8 O 2.40
Fe 0.5000 0.5000 0.2765  5 O 1.94-2.02
Fe 0.5000 0.5000 0.7235  5 O 1.94-2.02
O 0.0000 0.5000 0.3046  2 Fe 1.94
O 0.0000 0.5000 0.6954  2 Fe 1.94
O 0.5000 0.0000 0.3046  2 Fe 1.94
O 0.5000 0.0000 0.6954  2 Fe 1.94
O 0.5000 0.5000 0.0000  2 Fe 2.02

ΔE_f (raw), eV per atom: -2.5225
V, Å³/cell: 109
Calculated density, g/cm³: 7.5

(6)
The following is a SCAN calculation of a PBEsol-optimized structure of BaYFe4O7, from Alexandria.

a = 6.3039 Å, b = 6.3039 Å, c = 6.3039 Å
α = 121.12°, β = 121.12°, γ = 88.08°
Last column: nearest neighbours and their distance in Å.
Element x y z (fractional)
Ba 0.0000 0.0000 0.0000  4 O 2.68
Y 0.2500 0.7500 0.5000  6 O 2.22-2.23
Fe 0.0956 0.3465 0.7146  4 O 1.92-2.07
Fe 0.6190 0.9044 0.2509  4 O 1.92-2.07
Fe 0.6319 0.3810 0.2854  4 O 1.92-2.07
Fe 0.6535 0.3681 0.7491  4 O 1.92-2.07
O 0.0037 0.5037 0.5000  2 Fe 1.92
O 0.0237 0.4268 0.0052  2 Fe 1.92-1.93
O 0.4216 0.0186 0.9948  2 Fe 1.92-1.93
O 0.4963 0.9963 0.5000  2 Fe 1.92
O 0.5000 0.5000 0.0000  4 Fe 2.07
O 0.5732 0.5784 0.5970  2 Fe 1.92-1.93
O 0.9814 0.9763 0.4030  2 Fe 1.92-1.93

Distance to the lowest polymorph of the same formula, meV/atom: 0.0
ΔE_f (raw), eV per atom: -2.1804
V, Å³/cell: 174
Calculated density, g/cm³: 5.4

(7)
The following is a SCAN calculation of a PBEsol-optimized structure of BaYFe4O7, from Alexandria.

a = 6.2148 Å, b = 6.2148 Å, c = 10.5923 Å
α = 90.00°, β = 90.00°, γ = 120.00°
Last column: nearest neighbours and their distance in Å.
Element x y z (fractional)
Ba 0.3333 0.6667 0.0000  9 O 2.78-3.12
Ba 0.6667 0.3333 0.5000  9 O 2.78-3.12
Y 0.3333 0.6667 0.5973  6 O 2.20-2.24
Y 0.6667 0.3333 0.0973  6 O 2.20-2.24
Fe 0.0000 0.0000 0.0519  4 O 1.91
Fe 0.0000 0.0000 0.5519  4 O 1.91
Fe 0.1862 0.3725 0.2996  3 O 1.90-1.93
Fe 0.1862 0.8138 0.2996  3 O 1.90-1.93
Fe 0.3725 0.1862 0.7996  3 O 1.90-1.93
Fe 0.6275 0.8138 0.2996  3 O 1.90-1.93
Fe 0.8138 0.1862 0.7996  3 O 1.90-1.93
Fe 0.8138 0.6275 0.7996  3 O 1.90-1.93
O 0.0000 0.0000 0.2323  4 Fe 1.91-2.13
O 0.0000 0.0000 0.7323  4 Fe 1.91-2.13
O 0.0138 0.5069 0.2068  2 Fe 1.93
O 0.1617 0.3235 0.4768  2 Fe 1.90-1.91
O 0.1617 0.8383 0.4768  2 Fe 1.90-1.91
O 0.3235 0.1617 0.9768  2 Fe 1.90-1.91
O 0.4931 0.5069 0.2068  2 Fe 1.93
O 0.4931 0.9862 0.2068  2 Fe 1.93
O 0.5069 0.0138 0.7068  2 Fe 1.93
O 0.5069 0.4931 0.7068  2 Fe 1.93
O 0.6765 0.8383 0.4768  2 Fe 1.90-1.91
O 0.8383 0.1617 0.9768  2 Fe 1.90-1.91
O 0.8383 0.6765 0.9768  2 Fe 1.90-1.91
O 0.9862 0.4931 0.7068  2 Fe 1.93

Distance to the lowest polymorph of the same formula, meV/atom: 10.7
ΔE_f (raw), eV per atom: -2.1697
V, Å³/cell: 354
Calculated density, g/cm³: 5.3

(8)
The following is a SCAN calculation of a PBEsol-optimized structure of Ba2FeOs, from Alexandria.

a = 4.0231 Å, b = 6.2481 Å, c = 6.2481 Å
α = 46.16°, β = 90.00°, γ = 90.00°
Last column: nearest neighbours and their distance in Å.
Element x y z (fractional)
Ba 0.0000 0.0000 0.0000  3 Os 3.25-3.61, 4 Fe 3.38
Ba 0.5000 0.2870 0.2870  3 Fe 3.24-3.62, 4 Os 3.37
Fe 0.5000 0.6018 0.6018  2 Os 2.23
Os 0.0000 0.6863 0.6863  2 Fe 2.23

V, Å³/cell: 113
Calculated density, g/cm³: 7.6
E_form, eV/atom: 0.524